Entry 1:
DFT (PBE-GGA) results for a relaxed NdMg3Pd crystal.

Formation energy: -133 meV/atom
Excess energy over the best structure of this formula in the dataset: 1.35 eV per formula unit

a b c (Å): 5.548 5.548 18.189
angles (deg): 90.00 90.00 90.00
Space group I-4m2 (No. 119)
Asymmetric unit:
1 Nd 0.000 0.000 0.200 x4
2 Mg 0.000 0.247 0.621 x8
3 Mg 0.000 0.500 0.039 x4
4 Pd 0.000 0.000 0.500 x2
5 Pd 0.000 0.500 0.750 x2



Entry 2:
DFT (PBE-GGA) results for a relaxed NdMg3Pd2 crystal.

Formation energy: -530 meV/atom

a b c (Å): 16.752 4.123 8.897
angles (deg): 90.00 120.67 90.00
Space group C2/m (No. 12)
Asymmetric unit:
1 Nd 0.132 0.000 0.171 x4
2 Mg 0.033 0.000 0.690 x4
3 Mg 0.135 0.500 0.498 x4
4 Mg 0.179 0.500 0.901 x4
5 Pd 0.005 0.500 0.849 x4
6 Pd 0.208 0.000 0.731 x4



Entry 3:
DFT (PBE-GGA) results for a relaxed PrNdMgPd crystal.

Formation energy: -313 meV/atom

a b c (Å): 7.523 7.523 7.523
angles (deg): 90.00 90.00 90.00
Space group F-43m (No. 216)
Asymmetric unit:
1 Pr 0.000 0.000 0.000 x4
2 Nd 0.000 0.000 0.500 x4
3 Mg 0.250 0.250 0.250 x4
4 Pd 0.250 0.250 0.750 x4



Entry 4:
DFT (PBE-GGA) results for a relaxed NdMgSb2Pd4 crystal.

Formation energy (no corrections): -0.718 eV/atom

a b c (Å): 4.5881 4.5881 25.8390
angles (deg): 90.00 90.00 120.00
Space group R-3m (No. 166, hexagonal axes)
Asymmetric unit:
1 Nd 0.0000 0.0000 0.0000 x3
2 Mg 0.0000 0.0000 0.5000 x3
3 Sb 0.0000 0.0000 0.2467 x6
4 Pd 0.0000 0.0000 0.1376 x6
5 Pd 0.0000 0.0000 0.3990 x6



Entry 5:
DFT (PBE-GGA) results for a relaxed NdMgScPd crystal.

Formation energy: -330 meV/atom

a b c (Å): 7.185 7.185 7.185
angles (deg): 90.00 90.00 90.00
Space group F-43m (No. 216)
Asymmetric unit:
1 Nd 0.000 0.000 0.000 x4
2 Mg 0.250 0.250 0.250 x4
3 Sc 0.000 0.000 0.500 x4
4 Pd 0.250 0.250 0.750 x4



Entry 6:
DFT (PBE-GGA) results for a relaxed NdMgSi2Pd2 crystal.

Formation energy (no corrections): -0.781 eV/atom

a b c (Å): 4.2711 4.2711 6.9998
angles (deg): 90.00 90.00 120.00
Space group P-3m1 (No. 164)
Asymmetric unit:
1 Nd 0.0000 0.0000 0.0000 x1
2 Mg 0.0000 0.0000 0.5000 x1
3 Si 0.3333 0.6667 0.2802 x2
4 Pd 0.3333 0.6667 0.6709 x2